No. 1
# Ti7Zn2Sn3 | Alexandria via LeMat-Bulk | PBE | optimized geometry
# Total energy, eV per atom: -5.802
# V, Å³/f.u.: 220
# DOS(E_F), states/eV/f.u.: 14.09
# ΔH_f (0 K), eV/atom: 0.02
data_Ti7Zn2Sn3
_cell_length_a 4.7682
_cell_length_b 30.0713
_cell_length_c 3.0730
_cell_angle_alpha 90.00
_cell_angle_beta 90.00
_cell_angle_gamma 90.00
_symmetry_space_group_name_H-M 'C m m m'
_symmetry_Int_Tables_number 65
_symmetry_space_group_name_Hall '-C 2 2'
loop_
_atom_site_label
_atom_site_type_symbol
_atom_site_fract_x
_atom_site_fract_y
_atom_site_fract_z
Ti1 Ti 0.0000 0.0000 0.0000
Ti2 Ti 0.0000 0.0732 0.5000
Ti3 Ti 0.0000 0.2361 0.0000
Ti4 Ti 0.0000 0.4113 0.0000
Zn1 Zn 0.0000 0.1466 0.0000
Sn1 Sn 0.0000 0.3199 0.5000
Sn2 Sn 0.0000 0.5000 0.5000

No. 2
# Ti6Zn2Sn | Alexandria via LeMat-Bulk | PBE | optimized geometry
# Energy above the lowest structure with this stoichiometry, kJ per mole of atoms: 0.0
# Total energy, eV per atom: -6.060
# V, Å³/f.u.: 157
# DOS(E_F), states/eV/f.u.: 13.44
# ΔH_f (0 K), eV/atom: -0.07
data_Ti6Zn2Sn
_cell_length_a 8.0874
_cell_length_b 8.1815
_cell_length_c 9.5127
_cell_angle_alpha 90.00
_cell_angle_beta 90.00
_cell_angle_gamma 90.00
_symmetry_space_group_name_H-M 'I m m m'
_symmetry_Int_Tables_number 71
_symmetry_space_group_name_Hall '-I 2 2'
loop_
_atom_site_label
_atom_site_type_symbol
_atom_site_fract_x
_atom_site_fract_y
_atom_site_fract_z
Ti1 Ti 0.0000 0.2199 0.1842
Ti2 Ti 0.2073 0.5000 0.2485
Ti3 Ti 0.2109 0.2048 0.5000
Zn1 Zn 0.0000 0.0000 0.3745
Zn2 Zn 0.1508 0.0000 0.0000
Sn1 Sn 0.0000 0.5000 0.0000
Sn2 Sn 0.0000 0.5000 0.5000

No. 3
# Ti4ZnSn | Alexandria via LeMat-Bulk | PBE | optimized geometry
# Energy above the lowest structure with this stoichiometry, kJ per mole of atoms: 0.0
# Total energy, eV per atom: -6.372
# V, Å³/f.u.: 104
# DOS(E_F), states/eV/f.u.: 3.71
# ΔH_f (0 K), eV/atom: -0.23
data_Ti4ZnSn
_cell_length_a 9.9581
_cell_length_b 3.5342
_cell_length_c 6.2314
_cell_angle_alpha 90.00
_cell_angle_beta 107.89
_cell_angle_gamma 90.00
_symmetry_space_group_name_H-M 'C 1 2/m 1'
_symmetry_Int_Tables_number 12
_symmetry_space_group_name_Hall '-C 2y'
loop_
_atom_site_label
_atom_site_type_symbol
_atom_site_fract_x
_atom_site_fract_y
_atom_site_fract_z
Ti1 Ti 0.1642 0.0000 0.3492
Ti2 Ti 0.1724 0.0000 0.8213
Zn1 Zn 0.0000 0.5000 0.5000
Sn1 Sn 0.0000 0.5000 0.0000

No. 4
# Ti4ZnSn | Alexandria via LeMat-Bulk | PBE | optimized geometry
# Energy above the lowest structure with this stoichiometry, kJ per mole of atoms: 4.2
# Total energy, eV per atom: -6.329
# V, Å³/f.u.: 105
# DOS(E_F), states/eV/f.u.: 4.18
# ΔH_f (0 K), eV/atom: -0.19
data_Ti4ZnSn
_cell_length_a 4.6855
_cell_length_b 5.6471
_cell_length_c 7.9068
_cell_angle_alpha 90.00
_cell_angle_beta 90.00
_cell_angle_gamma 90.00
_symmetry_space_group_name_H-M 'P m m n'
_symmetry_Int_Tables_number 59
loop_
_symmetry_equiv_pos_as_xyz
'x,y,z'
'-x,-y,-z'
'-x+1/2,-y+1/2,z'
'x+1/2,y+1/2,-z'
'x+1/2,-y,-z'
'-x+1/2,y,z'
'-x,y+1/2,-z'
'x,-y+1/2,z'
loop_
_atom_site_label
_atom_site_type_symbol
_atom_site_fract_x
_atom_site_fract_y
_atom_site_fract_z
Ti1 Ti 0.2500 0.0060 0.2359
Ti2 Ti 0.2500 0.7500 0.5891
Ti3 Ti 0.2500 0.7500 0.9195
Zn1 Zn 0.2500 0.2500 0.9316
Sn1 Sn 0.2500 0.2500 0.5970

No. 5
# Ti3ZnSn | Alexandria via LeMat-Bulk | PBE | optimized geometry
# Energy above the lowest structure with this stoichiometry, kJ per mole of atoms: 31.2
# Total energy, eV per atom: -5.432
# V, Å³/f.u.: 102
# DOS(E_F), states/eV/f.u.: 6.05
# ΔH_f (0 K), eV/atom: 0.36
data_Ti3ZnSn
_cell_length_a 4.6657
_cell_length_b 4.6657
_cell_length_c 4.6657
_cell_angle_alpha 90.00
_cell_angle_beta 90.00
_cell_angle_gamma 90.00
_symmetry_space_group_name_H-M 'P m -3 m'
_symmetry_Int_Tables_number 221
_symmetry_space_group_name_Hall '-P 4 2 3'
loop_
_atom_site_label
_atom_site_type_symbol
_atom_site_fract_x
_atom_site_fract_y
_atom_site_fract_z
Ti1 Ti 0.0000 0.0000 0.5000
Zn1 Zn 0.0000 0.0000 0.0000
Sn1 Sn 0.5000 0.5000 0.5000

No. 6
# Ti3ZnSn | Alexandria via LeMat-Bulk | PBE | optimized geometry
# Energy above the lowest structure with this stoichiometry, kJ per mole of atoms: 4.0
# Total energy, eV per atom: -5.714
# V, Å³/f.u.: 97
# DOS(E_F), states/eV/f.u.: 5.92
# ΔH_f (0 K), eV/atom: 0.08
data_Ti3ZnSn
_cell_length_a 5.1417
_cell_length_b 14.6515
_cell_length_c 5.1589
_cell_angle_alpha 90.00
_cell_angle_beta 90.00
_cell_angle_gamma 90.00
_symmetry_space_group_name_H-M 'C m c m'
_symmetry_Int_Tables_number 63
_symmetry_space_group_name_Hall '-C 2c 2'
loop_
_atom_site_label
_atom_site_type_symbol
_atom_site_fract_x
_atom_site_fract_y
_atom_site_fract_z
Ti1 Ti 0.0000 0.0000 0.0000
Ti2 Ti 0.2440 0.1534 0.2500
Zn1 Zn 0.0000 0.4751 0.2500
Sn1 Sn 0.0000 0.1726 0.7500